# 1
! CdFeAg4 (GGA-PBE, optimized geometry); values from VASP
! - space group = F-43m (216)
! - spin magnetization (μB per formula unit) = 3.1
! - N(E_F) (states/eV/cell) = 5.21
&SYSTEM
  ibrav = 0, nat = 6, ntyp = 3
/
ATOMIC_SPECIES
Cd 112.41 Cd.upf
Ag 107.87 Ag.upf
Fe 55.84 Fe.upf
ATOMIC_POSITIONS crystal
Cd 0.250 0.250 0.250
Ag 0.124 0.625 0.625
Ag 0.625 0.625 0.625
Ag 0.625 0.124 0.625
Ag 0.625 0.625 0.124
Fe 0.000 0.000 0.000
CELL_PARAMETERS angstrom
0.000 3.853 3.853
3.853 0.000 3.853
3.853 3.853 0.000



# 2
! CdFe2Ag (GGA-PBE, optimized geometry); values from VASP
! - space group = F-43m (216)
! - spin magnetization (μB per formula unit) = 5.0
! - N(E_F) (states/eV/cell) = 2.46
&SYSTEM
  ibrav = 0, nat = 4, ntyp = 3
/
ATOMIC_SPECIES
Ag 107.87 Ag.upf
Cd 112.41 Cd.upf
Fe 55.84 Fe.upf
ATOMIC_POSITIONS crystal
Ag 0.500 0.500 0.500
Cd 0.250 0.250 0.250
Fe 0.000 0.000 0.000
Fe 0.750 0.750 0.750
CELL_PARAMETERS angstrom
4.443 0.000 0.000
2.222 3.848 0.000
2.222 1.283 3.628



# 3
! Cd2FeAg (GGA-PBE, optimized geometry); values from VASP
! - space group = R3m (160)
! - spin magnetization (μB per formula unit) = 2.7
! - N(E_F) (states/eV/cell) = 2.60
&SYSTEM
  ibrav = 0, nat = 4, ntyp = 3
/
ATOMIC_SPECIES
Cd 112.41 Cd.upf
Fe 55.84 Fe.upf
Ag 107.87 Ag.upf
ATOMIC_POSITIONS crystal
Cd 0.005 0.005 0.005
Cd 0.241 0.241 0.241
Fe 0.498 0.498 0.498
Ag 0.757 0.757 0.757
CELL_PARAMETERS angstrom
10.051 0.023 0.013
9.620 2.912 0.013
9.620 1.435 2.534



# 4
! CdFe2Ag (GGA-PBE, optimized geometry); values from VASP
! - space group = R-3m (166)
! - spin magnetization (μB per formula unit) = 5.3
! - N(E_F) (states/eV/cell) = 4.30
&SYSTEM
  ibrav = 0, nat = 4, ntyp = 3
/
ATOMIC_SPECIES
Ag 107.87 Ag.upf
Fe 55.84 Fe.upf
Cd 112.41 Cd.upf
ATOMIC_POSITIONS crystal
Ag 0.250 0.250 0.250
Fe 0.998 0.998 0.998
Fe 0.502 0.502 0.502
Cd 0.750 0.750 0.750
CELL_PARAMETERS angstrom
9.496 0.001 0.001
9.089 2.752 0.001
9.089 1.346 2.400



# 5
! CdFe2Ag (GGA-PBE, optimized geometry); values from VASP
! - space group = I-42d (122)
! - spin magnetization (μB per formula unit) = 5.5
! - N(E_F) (states/eV/cell) = 7.92
&SYSTEM
  ibrav = 0, nat = 8, ntyp = 3
/
ATOMIC_SPECIES
Ag 107.87 Ag.upf
Cd 112.41 Cd.upf
Fe 55.84 Fe.upf
ATOMIC_POSITIONS crystal
Ag 0.250 0.750 0.500
Ag 0.500 0.500 0.000
Cd 0.750 0.250 0.500
Cd 0.000 0.000 0.000
Fe 0.133 0.625 0.250
Fe 0.875 0.867 0.750
Fe 0.375 0.383 0.750
Fe 0.617 0.125 0.250
CELL_PARAMETERS angstrom
7.220 0.000 0.000
0.000 7.220 0.000
3.610 3.610 2.650



# 6
! CdFe2Ag (GGA-PBE, optimized geometry); values from VASP
! - space group = Pmmm (47)
! - spin magnetization (μB per formula unit) = 5.3
! - N(E_F) (states/eV/cell) = 4.04
&SYSTEM
  ibrav = 0, nat = 4, ntyp = 3
/
ATOMIC_SPECIES
Fe 55.84 Fe.upf
Ag 107.87 Ag.upf
Cd 112.41 Cd.upf
ATOMIC_POSITIONS crystal
Fe 0.000 0.000 0.013
Fe 0.000 0.000 0.487
Ag 0.500 0.500 0.250
Cd 0.500 0.500 0.750
CELL_PARAMETERS angstrom
2.778 0.000 0.000
0.000 4.054 0.000
0.000 0.000 5.539



# 7
! Cd2FeAg (GGA-PBE, optimized geometry); values from VASP
! - space group = Pmm2 (25)
! - spin magnetization (μB per formula unit) = 2.7
! - N(E_F) (states/eV/cell) = 2.67
&SYSTEM
  ibrav = 0, nat = 4, ntyp = 3
/
ATOMIC_SPECIES
Cd 112.41 Cd.upf
Fe 55.84 Fe.upf
Ag 107.87 Ag.upf
ATOMIC_POSITIONS crystal
Cd 0.000 0.125 0.924
Cd 0.500 0.125 0.332
Fe 0.000 0.625 0.423
Ag 0.500 0.625 0.821
CELL_PARAMETERS angstrom
-4.619 -0.010 1.357
-0.156 -2.978 -0.553
1.362 -0.931 4.629



# 8
! CdFe2Ag (GGA-PBE, optimized geometry); values from VASP
! - space group = P4/mmm (123)
! - spin magnetization (μB per formula unit) = 5.6
! - N(E_F) (states/eV/cell) = 4.61
&SYSTEM
  ibrav = 0, nat = 4, ntyp = 3
/
ATOMIC_SPECIES
Fe 55.84 Fe.upf
Ag 107.87 Ag.upf
Cd 112.41 Cd.upf
ATOMIC_POSITIONS crystal
Fe 0.000 0.000 0.022
Fe 0.000 0.000 0.478
Ag 0.500 0.500 0.250
Cd 0.500 0.500 0.750
CELL_PARAMETERS angstrom
-1.493 2.942 0.478
-0.945 0.040 -3.197
-4.860 -2.695 1.403



# 9
! Cd2FeAg (GGA-PBE, optimized geometry); values from VASP
! - space group = Immm (71)
! - spin magnetization (μB per formula unit) = 2.8
! - N(E_F) (states/eV/cell) = 2.38
&SYSTEM
  ibrav = 0, nat = 4, ntyp = 3
/
ATOMIC_SPECIES
Cd 112.41 Cd.upf
Fe 55.84 Fe.upf
Ag 107.87 Ag.upf
ATOMIC_POSITIONS crystal
Cd 0.509 0.509 0.000
Cd 0.991 0.991 0.000
Fe 0.750 0.250 0.500
Ag 0.250 0.750 0.500
CELL_PARAMETERS angstrom
-0.837 3.339 4.429
-5.255 0.551 1.884
4.391 -3.346 -0.996



# 10
! CdFe2Ag (GGA-PBE, optimized geometry); values from VASP
! - space group = I4/mmm (139)
! - spin magnetization (μB per formula unit) = 5.2
! - N(E_F) (states/eV/cell) = 3.96
&SYSTEM
  ibrav = 0, nat = 4, ntyp = 3
/
ATOMIC_SPECIES
Fe 55.84 Fe.upf
Ag 107.87 Ag.upf
Cd 112.41 Cd.upf
ATOMIC_POSITIONS crystal
Fe 0.000 0.000 0.000
Fe 0.500 0.500 0.000
Ag 0.250 0.750 0.500
Cd 0.750 0.250 0.500
CELL_PARAMETERS angstrom
-0.072 2.348 4.344
1.972 -2.716 3.622
1.526 1.261 -4.524



# 11
! CdFe2Ag (GGA-PBE, optimized geometry); values from VASP
! - space group = I-4m2 (119)
! - spin magnetization (μB per formula unit) = 5.2
! - N(E_F) (states/eV/cell) = 3.18
&SYSTEM
  ibrav = 0, nat = 4, ntyp = 3
/
ATOMIC_SPECIES
Cd 112.41 Cd.upf
Fe 55.84 Fe.upf
Ag 107.87 Ag.upf
ATOMIC_POSITIONS crystal
Cd 0.750 0.250 0.500
Fe 0.000 0.000 0.000
Fe 0.250 0.750 0.500
Ag 0.500 0.500 0.000
CELL_PARAMETERS angstrom
-2.312 1.594 3.868
-4.169 -2.329 0.220
4.456 -1.661 -0.482



# 12
! CdFeAg3 (GGA-PBE, optimized geometry); values from VASP
! - space group = Pm-3m (221)
! - relative energy among the computed polymorphs (meV/atom) = 0
! - spin magnetization (μB per formula unit) = 3.2
! - N(E_F) (states/eV/cell) = 2.48
&SYSTEM
  ibrav = 0, nat = 5, ntyp = 3
/
ATOMIC_SPECIES
Ag 107.87 Ag.upf
Fe 55.84 Fe.upf
Cd 112.41 Cd.upf
ATOMIC_POSITIONS crystal
Ag 0.000 0.500 0.000
Ag 0.500 0.000 0.000
Ag 0.000 0.000 0.500
Fe 0.000 0.000 0.000
Cd 0.500 0.500 0.500
CELL_PARAMETERS angstrom
4.889 0.000 0.000
0.000 4.889 0.000
0.000 0.000 4.889



# 13
! Cd2FeAg (GGA-PBE, optimized geometry); values from VASP
! - space group = C2/m (12)
! - spin magnetization (μB per formula unit) = 2.7
! - N(E_F) (states/eV/cell) = 3.06
&SYSTEM
  ibrav = 0, nat = 4, ntyp = 3
/
ATOMIC_SPECIES
Cd 112.41 Cd.upf
Ag 107.87 Ag.upf
Fe 55.84 Fe.upf
ATOMIC_POSITIONS crystal
Cd 0.504 0.504 0.491
Cd 0.996 0.996 0.009
Ag 0.750 0.750 0.750
Fe 0.250 0.250 0.250
CELL_PARAMETERS angstrom
4.913 0.001 -0.038
4.056 2.772 -0.038
0.849 0.262 5.310



# 14
! CdFe2Ag (GGA-PBE, optimized geometry); values from VASP
! - space group = Imm2 (44)
! - spin magnetization (μB per formula unit) = 5.2
! - N(E_F) (states/eV/cell) = 2.63
&SYSTEM
  ibrav = 0, nat = 4, ntyp = 3
/
ATOMIC_SPECIES
Cd 112.41 Cd.upf
Fe 55.84 Fe.upf
Ag 107.87 Ag.upf
ATOMIC_POSITIONS crystal
Cd 0.761 0.261 0.500
Fe 0.027 0.027 0.000
Fe 0.227 0.727 0.500
Ag 0.486 0.486 0.000
CELL_PARAMETERS angstrom
5.318 -0.001 0.002
2.443 4.724 -0.002
-3.265 -3.373 2.499



# 15
! CdFe2Ag (GGA-PBE, optimized geometry); values from VASP
! - space group = Cmmm (65)
! - spin magnetization (μB per formula unit) = 5.3
! - N(E_F) (states/eV/cell) = 3.80
&SYSTEM
  ibrav = 0, nat = 4, ntyp = 3
/
ATOMIC_SPECIES
Cd 112.41 Cd.upf
Ag 107.87 Ag.upf
Fe 55.84 Fe.upf
ATOMIC_POSITIONS crystal
Cd 0.000 0.500 0.500
Ag 0.500 0.000 0.500
Fe 0.500 0.500 0.000
Fe 0.000 0.000 0.000
CELL_PARAMETERS angstrom
4.913 0.031 -0.037
-1.841 4.555 -0.037
0.019 0.028 2.774



# 16
! Cd2FeAg (GGA-PBE, optimized geometry); values from VASP
! - space group = I-42d (122)
! - spin magnetization (μB per formula unit) = 2.8
! - N(E_F) (states/eV/cell) = 6.28
&SYSTEM
  ibrav = 0, nat = 8, ntyp = 3
/
ATOMIC_SPECIES
Ag 107.87 Ag.upf
Fe 55.84 Fe.upf
Cd 112.41 Cd.upf
ATOMIC_POSITIONS crystal
Ag 0.000 0.000 0.000
Ag 0.750 0.250 0.500
Fe 0.250 0.750 0.500
Fe 0.500 0.500 0.000
Cd 0.375 0.379 0.750
Cd 0.621 0.125 0.250
Cd 0.129 0.625 0.250
Cd 0.875 0.871 0.750
CELL_PARAMETERS angstrom
-2.123 -0.807 -3.315
3.130 -2.015 -1.514
-2.842 -9.743 1.757



# 17
! Cd2FeAg (GGA-PBE, optimized geometry); values from VASP
! - space group = I-4m2 (119)
! - spin magnetization (μB per formula unit) = 2.8
! - N(E_F) (states/eV/cell) = 3.86
&SYSTEM
  ibrav = 0, nat = 4, ntyp = 3
/
ATOMIC_SPECIES
Cd 112.41 Cd.upf
Fe 55.84 Fe.upf
Ag 107.87 Ag.upf
ATOMIC_POSITIONS crystal
Cd 0.250 0.750 0.500
Cd 0.000 0.000 0.000
Fe 0.500 0.500 0.000
Ag 0.750 0.250 0.500
CELL_PARAMETERS angstrom
-2.638 3.585 2.361
-3.328 1.865 -3.292
0.991 -4.758 1.328



# 18
! Cd2FeAg (GGA-PBE, optimized geometry); values from VASP
! - space group = Cmmm (65)
! - spin magnetization (μB per formula unit) = 2.5
! - N(E_F) (states/eV/cell) = 2.68
&SYSTEM
  ibrav = 0, nat = 4, ntyp = 3
/
ATOMIC_SPECIES
Cd 112.41 Cd.upf
Ag 107.87 Ag.upf
Fe 55.84 Fe.upf
ATOMIC_POSITIONS crystal
Cd 0.000 0.000 0.000
Cd 0.500 0.500 0.000
Ag 0.000 0.500 0.500
Fe 0.500 0.000 0.500
CELL_PARAMETERS angstrom
-1.243 -3.991 2.761
4.923 0.500 0.783
-0.543 1.753 2.290



# 19
! CdFe2Ag (GGA-PBE, optimized geometry); values from VASP
! - space group = C2/m (12)
! - spin magnetization (μB per formula unit) = 5.5
! - N(E_F) (states/eV/cell) = 3.72
&SYSTEM
  ibrav = 0, nat = 4, ntyp = 3
/
ATOMIC_SPECIES
Fe 55.84 Fe.upf
Ag 107.87 Ag.upf
Cd 112.41 Cd.upf
ATOMIC_POSITIONS crystal
Fe 0.001 0.001 0.982
Fe 0.499 0.499 0.518
Ag 0.750 0.750 0.750
Cd 0.250 0.250 0.250
CELL_PARAMETERS angstrom
4.995 0.005 0.036
4.197 2.707 0.036
0.853 0.252 4.667



# 20
! Cd2FeAg (GGA-PBE, optimized geometry); values from VASP
! - space group = P2/m (10)
! - spin magnetization (μB per formula unit) = 2.6
! - N(E_F) (states/eV/cell) = 2.25
&SYSTEM
  ibrav = 0, nat = 4, ntyp = 3
/
ATOMIC_SPECIES
Cd 112.41 Cd.upf
Fe 55.84 Fe.upf
Ag 107.87 Ag.upf
ATOMIC_POSITIONS crystal
Cd 0.000 0.985 0.016
Cd 0.000 0.515 0.484
Fe 0.500 0.250 0.250
Ag 0.500 0.750 0.750
CELL_PARAMETERS angstrom
2.928 0.000 0.000
0.000 2.953 0.040
0.000 2.857 8.248



Sequential energy of formation from the pure elements output: 0.408 0.397 0.241 0.435 0.737 0.392 0.231 0.470 0.297 0.377 0.379 0.828 0.275 0.325 0.392 0.504 0.292 0.235 0.396 0.171 eV per atom